# 1
Entry from Alexandria via LeMat-Bulk: an optimized crystal structure of CeDyMnOs (GGA-PBE).

Computed properties:
E_form: 0.019 eV per atom

Cell lengths 4.8928, 4.8928, 4.8928 Å; angles 60.00, 60.00, 60.00 degrees
Closest atoms and distances in Å follow each position.
Fractional positions:
Mn  0.5000  0.5000  0.5000  4 Dy 3.00, 4 Ce 3.00
Os  0.0000  0.0000  0.0000  4 Ce 3.00, 4 Dy 3.00
Ce  0.2500  0.2500  0.2500  4 Mn 3.00, 4 Os 3.00
Dy  0.7500  0.7500  0.7500  4 Mn 3.00, 4 Os 3.00


# 2
Entry from Alexandria via LeMat-Bulk: an optimized crystal structure of Ce2DyMnS5 (GGA-PBE).

Computed properties:
uncorrected formation energy: -1699 meV per atom

Cell lengths 3.8931, 8.4904, 12.0316 Å; angles 90.00, 90.00, 103.25 degrees
Closest atoms and distances in Å follow each position.
Fractional positions:
S  0.3591  0.7183  0.9993  1 Mn 2.39
S  0.5027  0.0053  0.2819  1 Mn 2.31
S  0.6409  0.2817  0.4993  1 Mn 2.39
S  0.0410  0.0820  0.0689  2 Mn 2.35
S  0.3099  0.6199  0.3451  2 Dy 2.72, 3 Ce 3.01-3.02
S  0.4973  0.9947  0.7819  1 Mn 2.31
S  0.9590  0.9180  0.5689  2 Mn 2.35
S  0.6901  0.3801  0.8451  2 Dy 2.72, 3 Ce 3.01-3.02
S  0.2919  0.5837  0.6616  2 Dy 2.73, 3 Ce 2.91-2.96
S  0.7081  0.4163  0.1616  2 Dy 2.73, 3 Ce 2.91-2.96
Dy  0.8041  0.6083  0.5031  6 S 2.68-2.73
Dy  0.1959  0.3917  0.0031  6 S 2.68-2.73
Mn  0.5025  0.0050  0.9738  4 S 2.31-2.39
Mn  0.4975  0.9950  0.4738  4 S 2.31-2.39
Ce  0.1298  0.2595  0.3049  8 S 2.88-3.20
Ce  0.1138  0.2277  0.6853  8 S 2.92-3.01
Ce  0.8862  0.7723  0.1853  8 S 2.92-3.01
Ce  0.8702  0.7405  0.8049  8 S 2.88-3.20


# 3
Entry from Alexandria via LeMat-Bulk: an optimized crystal structure of CeDyMnTc (GGA-PBE).

Computed properties:
E_form: 0.124 eV per atom

Cell lengths 4.9069, 4.9069, 4.9069 Å; angles 60.00, 60.00, 60.00 degrees
Closest atoms and distances in Å follow each position.
Fractional positions:
Mn  0.0000  0.0000  0.0000  4 Ce 3.00, 4 Dy 3.00
Ce  0.7500  0.7500  0.7500  4 Mn 3.00, 4 Tc 3.00
Dy  0.2500  0.2500  0.2500  4 Tc 3.00, 4 Mn 3.00
Tc  0.5000  0.5000  0.5000  4 Dy 3.00, 4 Ce 3.00


# 4
Entry from Alexandria via LeMat-Bulk: an optimized crystal structure of CeDyMnZn (GGA-PBE).

Computed properties:
E_form: -0.010 eV per atom

Cell lengths 5.0134, 5.0134, 5.0134 Å; angles 60.00, 60.00, 60.00 degrees
Closest atoms and distances in Å follow each position.
Fractional positions:
Zn  0.0000  0.0000  0.0000  4 Dy 3.07, 4 Ce 3.07
Dy  0.7500  0.7500  0.7500  4 Mn 3.07, 4 Zn 3.07
Mn  0.5000  0.5000  0.5000  4 Ce 3.07, 4 Dy 3.07
Ce  0.2500  0.2500  0.2500  4 Zn 3.07, 4 Mn 3.07


# 5
Entry from Alexandria via LeMat-Bulk: an optimized crystal structure of CeDy4N5 (GGA-PBE).

Computed properties:
uncorrected formation energy: -1670 meV per atom

Cell lengths 4.9333, 6.0425, 6.0425 Å; angles 80.41, 65.91, 65.91 degrees
Closest atoms and distances in Å follow each position.
Fractional positions:
N  0.9033  0.3957  0.7998  5 Dy 2.44-2.48, 1 Ce 2.45
N  0.5011  0.0000  0.0000  2 Ce 2.47, 4 Dy 2.48
N  0.7031  0.2002  0.3957  5 Dy 2.44-2.48, 1 Ce 2.45
N  0.2990  0.7998  0.6043  5 Dy 2.44-2.48, 1 Ce 2.45
N  0.0988  0.6043  0.2002  5 Dy 2.44-2.48, 1 Ce 2.45
Dy  0.8029  0.7983  0.5980  6 N 2.44-2.48
Dy  0.6012  0.5980  0.2017  6 N 2.44-2.48
Dy  0.1992  0.2017  0.4020  6 N 2.44-2.48
Dy  0.4009  0.4020  0.7983  6 N 2.44-2.48
Ce  0.0010  0.0000  0.0000  6 N 2.45-2.47


# 6
Entry from Alexandria via LeMat-Bulk: an optimized crystal structure of Ce2Dy2N3 (GGA-PBE).

Computed properties:
uncorrected formation energy: -1073 meV per atom

Cell lengths 3.6632, 6.4987, 6.4044 Å; angles 97.28, 106.62, 90.00 degrees
Closest atoms and distances in Å follow each position.
Fractional positions:
Dy  0.3929  0.6251  0.7858  3 N 2.23-2.45
Dy  0.6071  0.3749  0.2142  3 N 2.23-2.45
Ce  0.8582  0.1470  0.7165  3 N 2.28-2.38
Ce  0.1418  0.8530  0.2835  3 N 2.28-2.38
N  0.0000  0.5000  0.0000  4 Dy 2.45, 2 Ce 2.69
N  0.6633  0.0631  0.3266  1 Dy 2.23, 3 Ce 2.28-2.38
N  0.3367  0.9369  0.6734  1 Dy 2.23, 3 Ce 2.28-2.38


Number 1: size of the total moment 2.5 μB per formula unit. Number 2: size of the total moment 5.8 μB per formula unit. Number 3: size of the total moment 3.0 μB per formula unit. Number 4: size of the total moment 1.9 μB per formula unit. Number 5: size of the total moment 0.0 μB per formula unit. Number 6: size of the total moment 2.6 μB per formula unit.